# 1
Here is crystalline Hg5BiPb7 at its relaxed geometry from the Alexandria database. Energies are from PBE.

Lattice parameters (Å, degrees): 4.560 9.629 9.629 87.27 76.17 76.17
Atoms (fractional coordinates):
Bi 0.078 0.997 0.997
Hg 0.278 0.597 0.005
Hg 0.887 0.001 0.383
Hg 0.771 0.810 0.810
Hg 0.278 0.005 0.597
Hg 0.887 0.383 0.001
Pb 0.699 0.377 0.377
Pb 0.066 0.380 0.639
Pb 0.581 0.175 0.804
Pb 0.397 0.182 0.182
Pb 0.066 0.639 0.380
Pb 0.430 0.648 0.648
Pb 0.581 0.804 0.175

Calculated values
As for the total magnetization: 0.000 μB/atom. As for the space group: Cm, No. 8. The calculation puts the formation enthalpy at 0 K at 0.070 eV per atom. The calculation puts the total DFT energy (no corrections) at -2.34 eV/atom. The value obtained for the mass density is 11.09 g/cm³.


# 2
Here is crystalline LaNiBiPd at its relaxed geometry from the Alexandria database. Energies are from PBE.

Lattice parameters (Å, degrees): 4.953 4.953 4.953 60.00 60.00 60.00
Atoms (fractional coordinates):
Ni 0.250 0.250 0.250
Bi 0.500 0.500 0.500
La 0.000 0.000 0.000
Pd 0.750 0.750 0.750

Calculated values
As for the total magnetization: 0.000 μB/atom. As for the space group: F-43m, No. 216. The calculation puts the formation enthalpy at 0 K at -0.469 eV per atom. The calculation puts the total DFT energy (no corrections) at -5.41 eV/atom. The value obtained for the mass density is 9.92 g/cm³.


# 3
Here is crystalline Ac3Mg2In3 at its relaxed geometry from the Alexandria database. Energies are from PBE.

Lattice parameters (Å, degrees): 5.059 6.613 16.634 90.00 90.00 112.49
Atoms (fractional coordinates):
In 0.608 0.215 0.042
In 0.665 0.329 0.750
In 0.335 0.671 0.250
In 0.392 0.785 0.542
In 0.608 0.215 0.458
In 0.392 0.785 0.958
Ac 0.917 0.834 0.112
Ac 0.635 0.270 0.250
Ac 0.365 0.730 0.750
Ac 0.083 0.166 0.888
Ac 0.917 0.834 0.388
Ac 0.083 0.166 0.612
Mg 0.786 0.571 0.911
Mg 0.786 0.571 0.589
Mg 0.214 0.429 0.089
Mg 0.214 0.429 0.411

Calculated values
As for the total magnetization: 0.001 μB/atom. As for the space group: Cmcm, No. 63. The calculation puts the formation enthalpy at 0 K at -0.375 eV per atom. The calculation puts the total DFT energy (no corrections) at -3.34 eV/atom. The value obtained for the mass density is 6.94 g/cm³.


# 4
Here is crystalline Rb3SrLa2Te6 at its relaxed geometry from the Alexandria database. Energies are from PBE.

Lattice parameters (Å, degrees): 8.257 8.257 9.015 98.79 98.79 120.00
Atoms (fractional coordinates):
La 0.333 0.667 0.000
La 0.667 0.333 0.000
Rb 0.836 0.164 0.500
Rb 0.500 0.500 0.500
Rb 0.164 0.836 0.500
Te 0.274 0.274 0.792
Te 0.586 0.930 0.791
Te 0.930 0.586 0.791
Te 0.726 0.726 0.208
Te 0.070 0.414 0.209
Te 0.414 0.070 0.209
Sr 0.000 0.000 0.000

Calculated values
As for the total magnetization: 0.000 μB/atom. As for the space group: C2/m, No. 12. The calculation puts the total DFT energy (no corrections) at -4.14 eV/atom. The value obtained for the mass density is 4.55 g/cm³.